! PBE Ca2ZnSnN, relaxed; values from VASP
&SYSTEM
  ibrav = 0, nat = 5, ntyp = 4
/
ATOMIC_SPECIES
Ca 40.08 Ca.upf
Zn 65.41 Zn.upf
Sn 118.71 Sn.upf
N 14.01 N.upf
ATOMIC_POSITIONS crystal
Ca 0.000 0.500 0.000
Ca 0.500 0.000 0.000
Zn 0.000 0.000 0.500
Sn 0.500 0.500 0.500
N 0.000 0.000 0.000
CELL_PARAMETERS angstrom
5.235 0.000 0.000
0.000 5.235 0.000
0.000 0.000 3.839
! - SG: P4/mmm
! - Uncorrected formation energy: -0.533 eV per atom